1.
{
  "formula": "LaTbDyZr",
  "functional": "PBE",
  "state": "optimized geometry",
  "lattice_angstrom": [[0.000, 3.929, 3.929], [3.929, 0.000, 3.929], [3.929, 3.929, 0.000]],
  "species": ["La", "Tb", "Dy", "Zr"],
  "frac_coords": [[0.000, 0.000, 0.000], [0.250, 0.250, 0.250], [0.750, 0.750, 0.750], [0.500, 0.500, 0.500]],
  "sg": "No. 216",
  "e_form_ev_per_atom": 0.230,
  "magnetic_moment_mub_per_fu": 1.11
}

=====

2.
{
  "formula": "Sc3Cu",
  "functional": "PBE",
  "state": "optimized geometry",
  "lattice_angstrom": [[3.364, 0.000, 0.000], [-1.682, 2.913, 0.000], [0.000, 0.000, 8.972]],
  "species": ["Sc", "Sc", "Sc", "Cu"],
  "frac_coords": [[0.000, 0.000, 0.000], [0.667, 0.333, 0.287], [0.667, 0.333, 0.713], [0.000, 0.000, 0.500]],
  "sg": "No. 187",
  "e_form_ev_per_atom": -0.013,
  "relative_energy_mev_per_atom": 123,
  "magnetic_moment_mub_per_fu": 0.31
}

=====

3.
{
  "formula": "SrZn2Ni",
  "functional": "PBE",
  "state": "optimized geometry",
  "lattice_angstrom": [[-2.409, 2.409, 8.306], [2.409, -2.409, 8.306], [2.409, 2.409, -8.306]],
  "species": ["Sr", "Sr", "Zn", "Zn", "Zn", "Zn", "Ni", "Ni"],
  "frac_coords": [[0.375, 0.625, 0.750], [0.625, 0.375, 0.250], [0.000, 0.000, 0.000], [0.000, 0.000, 0.500], [0.000, 0.500, 0.000], [0.500, 0.000, 0.500], [0.125, 0.875, 0.250], [0.875, 0.125, 0.750]],
  "sg": "No. 141",
  "e_form_ev_per_atom": -0.054,
  "magnetic_moment_mub_per_fu": 0.00
}

=====

4.
{
  "formula": "Tb2Be4IrPt3",
  "functional": "PBE",
  "state": "optimized geometry",
  "lattice_angstrom": [[4.040, 0.000, 0.000], [0.000, 4.040, 0.000], [0.000, 0.000, 9.374]],
  "species": ["Tb", "Tb", "Be", "Be", "Be", "Be", "Ir", "Pt", "Pt", "Pt"],
  "frac_coords": [[0.000, 0.500, 0.245], [0.500, 0.000, 0.755], [0.000, 0.000, 0.500], [0.000, 0.500, 0.878], [0.500, 0.000, 0.122], [0.500, 0.500, 0.500], [0.500, 0.500, 0.000], [0.000, 0.000, 0.000], [0.000, 0.500, 0.625], [0.500, 0.000, 0.375]],
  "sg": "No. 115",
  "e_form_ev_per_atom": -0.872,
  "magnetic_moment_mub_per_fu": 0.00
}

=====

5.
{
  "formula": "CdHg3F",
  "functional": "PBE",
  "state": "optimized geometry",
  "lattice_angstrom": [[5.571, 0.000, 0.000], [0.000, 5.571, 0.000], [0.000, 0.000, 5.571]],
  "species": ["Cd", "Hg", "Hg", "Hg", "F"],
  "frac_coords": [[0.000, 0.000, 0.000], [0.000, 0.000, 0.500], [0.000, 0.500, 0.000], [0.500, 0.000, 0.000], [0.500, 0.500, 0.500]],
  "sg": "No. 221",
  "e_form_raw_ev_per_atom": -0.18,
  "relative_energy_mev_per_atom": 0,
  "magnetic_moment_mub_per_fu": 0.00
}

=====

6.
{
  "formula": "DyCdGaNi",
  "functional": "PBE",
  "state": "optimized geometry",
  "lattice_angstrom": [[0.000, 3.342, 3.342], [3.342, 0.000, 3.342], [3.342, 3.342, 0.000]],
  "species": ["Dy", "Cd", "Ga", "Ni"],
  "frac_coords": [[0.000, 0.000, 0.000], [0.500, 0.500, 0.500], [0.750, 0.750, 0.750], [0.250, 0.250, 0.250]],
  "sg": "No. 216",
  "e_form_ev_per_atom": -0.299,
  "magnetic_moment_mub_per_fu": 0.00
}

=====

7.
{
  "formula": "MgFeRu",
  "functional": "PBE",
  "state": "optimized geometry",
  "lattice_angstrom": [[5.120, -1.476, 0.000], [5.120, 1.476, 0.000], [-1.770, 0.000, 5.736]],
  "species": ["Mg", "Mg", "Fe", "Fe", "Ru", "Ru"],
  "frac_coords": [[0.004, 0.004, 0.244], [0.996, 0.996, 0.756], [0.309, 0.309, 0.915], [0.691, 0.691, 0.085], [0.323, 0.323, 0.406], [0.677, 0.677, 0.594]],
  "sg": "No. 12",
  "e_form_ev_per_atom": 0.124,
  "relative_energy_mev_per_atom": 68,
  "magnetic_moment_mub_per_fu": 2.01
}

=====

8.
{
  "formula": "TbCe2Os2",
  "functional": "PBE",
  "state": "optimized geometry",
  "lattice_angstrom": [[5.574, -2.262, 0.000], [5.574, 2.262, 0.000], [-3.859, 0.000, 9.101]],
  "species": ["Tb", "Tb", "Ce", "Ce", "Ce", "Ce", "Os", "Os", "Os", "Os"],
  "frac_coords": [[0.213, 0.213, 0.364], [0.787, 0.787, 0.636], [0.330, 0.330, 0.922], [0.483, 0.483, 0.297], [0.517, 0.517, 0.703], [0.670, 0.670, 0.078], [0.055, 0.055, 0.895], [0.113, 0.113, 0.613], [0.887, 0.887, 0.387], [0.945, 0.945, 0.105]],
  "sg": "No. 12",
  "e_form_ev_per_atom": -0.148,
  "magnetic_moment_mub_per_fu": 0.36
}

=====

Number 1: calculated volume 121.3 Å³ per cell. Number 2: calculated volume 87.9 Å³ per cell. Number 3: calculated volume 192.9 Å³ per cell. Number 4: calculated volume 153.0 Å³ per cell. Number 5: calculated volume 172.9 Å³ per cell. Number 6: calculated volume 74.7 Å³ per cell. Number 7: calculated volume 86.7 Å³ per cell. Number 8: calculated volume 229.5 Å³ per cell.